Below is a relaxed structure of NaNbAsO, with properties calculated at the PBE level.

Lattice parameters (Å, degrees): 4.2645 4.2645 7.7800 90.00 90.00 90.00
Space group P4/nmm (No. 129, origin choice 2)
Asymmetric unit:
Na  0.2500  0.2500  0.1009 [2 per cell]
Nb  0.2500  0.7500  0.5000 [2 per cell]
As  0.2500  0.2500  0.6895 [2 per cell]
O  0.2500  0.7500  0.0000 [2 per cell]

Distance to the lowest polymorph of the same formula ... 0.951 eV/atom
Magnetization ... 0.21 μB/atom

---

Below is a relaxed structure of BeSiOs2, with properties calculated at the PBE level.

Lattice parameters (Å, degrees): 4.0879 4.0879 7.6360 90.00 90.00 120.00
Space group P6_3/mmc (No. 194)
Asymmetric unit:
Be  0.3333  0.6667  0.2500 [2 per cell]
Si  0.0000  0.0000  0.0000 [2 per cell]
Os  0.3333  0.6667  0.5910 [4 per cell]

Uncorrected energy ... -7.8662 eV per atom
Magnetization ... 0.00 μB/atom

---

Below is a relaxed structure of Sc3Mo3W2N12, with properties calculated at the PBE level.

Lattice parameters (Å, degrees): 12.4013 12.4013 12.4013 90.00 90.00 90.00
Space group Ia-3d (No. 230)
Asymmetric unit:
Sc  0.0000  0.2500  0.1250 [24 per cell]
Mo  0.0000  0.2500  0.3750 [24 per cell]
W  0.0000  0.0000  0.0000 [16 per cell]
N  0.0291  0.0594  0.6503 [96 per cell]

Uncorrected energy ... -9.4721 eV per atom
Magnetization ... 0.00 μB/atom

---

Below is a relaxed structure of AlAuO2, with properties calculated at the PBE level.

Lattice parameters (Å, degrees): 2.9138 2.9138 18.4366 90.00 90.00 120.00
Space group R-3m (No. 166, hexagonal axes)
Asymmetric unit:
Al  0.0000  0.0000  0.0000 [3 per cell]
Au  0.0000  0.0000  0.5000 [3 per cell]
O  0.0000  0.0000  0.3845 [6 per cell]

Uncorrected energy ... -6.1051 eV per atom

---

Number 4 is which compound?
AlAuO2

---

What is the formula in the fourth record?
AlAuO2

---

Repeat the first record exactly.
Below is a relaxed structure of NaNbAsO, with properties calculated at the PBE level.

Lattice parameters (Å, degrees): 4.2645 4.2645 7.7800 90.00 90.00 90.00
Space group P4/nmm (No. 129, origin choice 2)
Asymmetric unit:
Na  0.2500  0.2500  0.1009 [2 per cell]
Nb  0.2500  0.7500  0.5000 [2 per cell]
As  0.2500  0.2500  0.6895 [2 per cell]
O  0.2500  0.7500  0.0000 [2 per cell]

Distance to the lowest polymorph of the same formula ... 0.951 eV/atom
Magnetization ... 0.21 μB/atom